[1]
Sm4CoRh: relaxed, GGA-PBE.

a = 7.7320 Å, b = 7.7320 Å, c = 7.7320 Å
α = 106.68°, β = 106.68°, γ = 115.21°
Last column: nearest neighbours and their distance in Å.
Atoms (fractional coordinates):
Sm: 0.7428 0.4440 0.7012  2 Co 2.73-2.76, 1 Rh 2.82
Co: 0.7507 0.7507 0.0000  6 Sm 2.72-2.76
Sm: 0.1940 0.9928 0.2012  2 Co 2.73-2.76, 1 Rh 2.82
Sm: 0.7428 0.0416 0.2988  2 Co 2.73-2.76, 1 Rh 2.82
Sm: 0.7916 0.9928 0.7988  2 Co 2.73-2.76, 1 Rh 2.82
Rh: 0.2491 0.2491 0.0000  6 Sm 2.80-2.82
Sm: 0.7046 0.5073 0.1972  1 Co 2.72, 2 Rh 2.80-2.81
Co: 0.5007 0.0007 0.5000  6 Sm 2.72-2.76
Sm: 0.3101 0.5073 0.8028  1 Co 2.72, 2 Rh 2.80-2.81
Sm: 0.2573 0.9546 0.6972  1 Co 2.72, 2 Rh 2.80-2.81
Rh: 0.9991 0.4991 0.5000  6 Sm 2.80-2.82
Sm: 0.2573 0.5601 0.3028  1 Co 2.72, 2 Rh 2.80-2.81

## Properties
Final energy = -5.8156 eV per atom
Energy above the lowest structure with this stoichiometry = 17 meV/atom
Formation enthalpy at 0 K = -0.26 eV/atom


[2]
TeOs2W: relaxed, GGA-PBE.

a = 4.5360 Å, b = 4.5360 Å, c = 4.5360 Å
α = 60.00°, β = 60.00°, γ = 60.00°
Last column: nearest neighbours and their distance in Å.
Atoms (fractional coordinates):
W: 0.7500 0.7500 0.7500  4 Te 2.78, 4 Os 2.78
Te: 0.5000 0.5000 0.5000  4 Os 2.78, 4 W 2.78
Os: 0.2500 0.2500 0.2500  4 Os 2.78, 4 Te 2.78
Os: 0.0000 0.0000 0.0000  4 W 2.78, 4 Os 2.78

## Properties
Final energy = -8.7816 eV per atom
E_form (uncorrected) = 19.763 kcal/mol of atoms


[3]
Cs2GaAuI6: relaxed, GGA-PBE.

a = 8.3116 Å, b = 8.3116 Å, c = 8.3116 Å
α = 60.00°, β = 60.00°, γ = 60.00°
Last column: nearest neighbours and their distance in Å.
Atoms (fractional coordinates):
Cs: 0.2500 0.2500 0.2500  12 I 4.16
Ga: 0.0000 0.0000 0.0000  6 I 2.92
Cs: 0.7500 0.7500 0.7500  12 I 4.16
I: 0.7516 0.7516 0.2484  1 Ga 2.92, 1 Au 2.96
I: 0.2484 0.7516 0.2484  1 Ga 2.92, 1 Au 2.96
I: 0.7516 0.2484 0.2484  1 Ga 2.92, 1 Au 2.96
I: 0.2484 0.2484 0.7516  1 Ga 2.92, 1 Au 2.96
I: 0.7516 0.2484 0.7516  1 Ga 2.92, 1 Au 2.96
I: 0.2484 0.7516 0.7516  1 Ga 2.92, 1 Au 2.96
Au: 0.5000 0.5000 0.5000  6 I 2.96

## Properties
Final energy = -2.4812 eV per atom
E_form (uncorrected) = -17.295 kcal/mol of atoms


[4]
PrHoIr: relaxed, GGA-PBE.

a = 4.6019 Å, b = 4.6019 Å, c = 8.0409 Å
α = 106.54°, β = 106.54°, γ = 90.04°
Last column: nearest neighbours and their distance in Å.
Atoms (fractional coordinates):
Ir: 0.8779 0.8779 0.2537  1 Pr 2.81, 4 Ho 2.93
Ho: 0.0000 0.5000 0.5000  4 Ir 2.93, 4 Ho 3.25-3.26
Pr: 0.3140 0.3140 0.1277  1 Ir 2.81
Pr: 0.6860 0.6860 0.8724  1 Ir 2.81
Ho: 0.5000 0.0000 0.5000  4 Ir 2.93, 4 Ho 3.25-3.26
Ir: 0.1221 0.1221 0.7463  1 Pr 2.81, 4 Ho 2.93

## Properties
Final energy = -6.6290 eV per atom
Energy above the lowest structure with this stoichiometry = 52 meV/atom
Formation enthalpy at 0 K = -0.56 eV/atom